1.
A plane-wave DFT calculation with PBE-GGA was carried out for a relaxed Cu3AgPt2 crystal.

The value obtained for the formation energy from the elements is -0.5 eV per formula unit. The density of states at the Fermi level comes out at 0.649 states/eV per atom. Its volume is 14.24 Å³ per atom.

The space group is P4/mmm (No. 123) and the conventional cell measures 2.787, 2.787 and 11.001 Å, with angles of 90.00, 90.00 and 90.00 degrees. Symmetry generates all atoms from Cu at (0.000, 0.000, 0.000), Cu at (0.000, 0.000, 0.325), Ag at (0.500, 0.500, 0.500) and Pt at (0.500, 0.500, 0.164).



2.
A plane-wave DFT calculation with PBE-GGA was carried out for a relaxed AlCoOs crystal.

The value obtained for the formation energy from the elements is -0.3 eV per formula unit. The density of states at the Fermi level comes out at 0.592 states/eV per atom. The value obtained for the energy relative to the lowest polymorph listed for this composition is 70.1 meV per atom. Its volume is 13.03 Å³ per atom.

The space group is P3m1 (No. 156) and the conventional cell measures 2.7080, 2.7080 and 6.1548 Å, with angles of 90.00, 90.00 and 120.00 degrees. Symmetry generates all atoms from Al at (0.0000, 0.0000, 0.0000), Co at (0.6667, 0.3333, 0.3163) and Os at (0.3333, 0.6667, 0.6410).